[1]
This record from Alexandria describes a relaxed BeNb2S crystal. The functional is PBE.

Cell: 4.794 3.504 6.928 Å, 90.00 109.13 90.00°
Space group P2_1/m (No. 11)
One atom of each set of equivalent atoms:
1 Be 0.135 0.250 0.282 [2 per cell]
2 Nb 0.210 0.250 0.919 [2 per cell]
3 Nb 0.267 0.750 0.557 [2 per cell]
4 S 0.361 0.750 0.216 [2 per cell]

Properties
Uncorrected formation energy ... -443 meV per atom
Energy above the most stable polymorph in this dataset ... 0 meV per atom

=====

[2]
This record from Alexandria describes a relaxed Th6Ge3C2N crystal. The functional is PBE.

Cell: 6.560 11.328 7.701 Å, 90.00 106.40 90.00°
Space group C2/m (No. 12)
One atom of each set of equivalent atoms:
1 Th 0.231 0.166 0.195 [8 per cell]
2 Th 0.234 0.500 0.199 [4 per cell]
3 Ge 0.000 0.172 0.500 [4 per cell]
4 Ge 0.000 0.500 0.500 [2 per cell]
5 C 0.000 0.334 0.000 [4 per cell]
6 N 0.000 0.000 0.000 [2 per cell]

Properties
Uncorrected formation energy ... -618 meV per atom

=====

[3]
This record from Alexandria describes a relaxed LiSiIr2 crystal. The functional is PBE.

Cell: 2.938 4.767 8.188 Å, 90.00 90.00 90.00°
Space group Cmmm (No. 65)
One atom of each set of equivalent atoms:
1 Li 0.000 0.000 0.000 [2 per cell]
2 Si 0.000 0.000 0.500 [2 per cell]
3 Ir 0.000 0.500 0.276 [4 per cell]

Properties
Uncorrected formation energy ... -189 meV per atom

=====

[4]
This record from Alexandria describes a relaxed Ca2Pr3Tl3 crystal. The functional is PBE.

Cell: 4.557 5.176 21.617 Å, 90.00 90.00 90.00°
Space group Immm (No. 71)
One atom of each set of equivalent atoms:
1 Ca 0.000 0.000 0.240 [4 per cell]
2 Pr 0.000 0.000 0.000 [2 per cell]
3 Pr 0.000 0.500 0.115 [4 per cell]
4 Tl 0.000 0.000 0.500 [2 per cell]
5 Tl 0.000 0.500 0.370 [4 per cell]

Properties
Formation energy ... -1.99 eV/f.u.

=====

[5]
This record from Alexandria describes a relaxed Li2NpI6 crystal. The functional is PBE.

Cell: 7.384 8.391 14.318 Å, 90.00 116.58 90.00°
Space group P2_1/c (No. 14)
One atom of each set of equivalent atoms:
1 Li 0.102 0.099 0.119 [4 per cell]
2 Np 0.500 0.000 0.000 [2 per cell]
3 I 0.133 0.047 0.792 [4 per cell]
4 I 0.236 0.698 0.568 [4 per cell]
5 I 0.391 0.213 0.589 [4 per cell]

Properties
Uncorrected formation energy ... -946 meV per atom
Energy above the most stable polymorph in this dataset ... 0 meV per atom

=====

[6]
This record from Alexandria describes a relaxed TiNbAlTc crystal. The functional is PBE.

Cell: 6.332 6.332 6.332 Å, 90.00 90.00 90.00°
Space group F-43m (No. 216)
One atom of each set of equivalent atoms:
1 Ti 0.000 0.000 0.000 [4 per cell]
2 Nb 0.250 0.250 0.750 [4 per cell]
3 Al 0.250 0.250 0.250 [4 per cell]
4 Tc 0.000 0.000 0.500 [4 per cell]

Properties
Formation energy ... -1.38 eV/f.u.

=====

no.,E (eV/f.u.)
1,-29.77
2,-92.57
3,-25.82
4,-27.43
5,-34.59
6,-33.46